An optimized crystal structure of Ac3Nd2Co2, computed with PBE.

DOS(E_F): 8.302 states/eV per cell
ρ: 8.25 g cm⁻³
Energy of formation from the pure elements: 0.002 eV/atom
Space group: No. 12

Structure (extended XYZ):
```
7
Lattice="3.886 0.004 0.000 1.939 6.332 1.834 -0.003 -0.098 8.871" Properties=species:S:1:pos:R:3 pbc="T T T"
Co 1.942 4.269 2.733
Nd 3.885 2.352 2.274
Ac 1.944 1.512 5.610
Co 3.880 1.969 7.973
Nd 1.937 3.886 8.432
Ac 3.878 4.727 5.096
Ac 1.943 0.002 0.000
```

An optimized crystal structure of Ac6NdCo2, computed with PBE.

DOS(E_F): 22.280 states/eV per cell
ρ: 8.33 g cm⁻³
Energy of formation from the pure elements: 0.098 eV/atom
Space group: No. 15

Structure (extended XYZ):
```
18
Lattice="9.968 0.129 2.913 2.137 7.603 4.307 0.875 0.263 8.949" Properties=species:S:1:pos:R:3 pbc="T T T"
Nd 3.477 0.936 9.272
Ac 8.248 5.900 10.129
Co 5.689 6.911 11.103
Ac 1.173 0.645 6.311
Ac 11.807 7.349 9.859
Nd 9.503 7.058 6.898
Ac 3.044 4.559 9.479
Ac 6.067 2.886 11.185
Ac 6.913 5.109 4.985
Ac 5.572 7.084 7.964
Ac 3.147 5.051 4.090
Co 7.291 1.083 5.067
Ac 7.408 0.910 8.205
Co 10.464 5.762 13.327
Ac 4.732 2.095 6.041
Co 2.516 2.232 2.843
Ac 9.936 3.435 6.690
Ac 9.833 2.943 12.080
```

An optimized crystal structure of Ac3NdCo2, computed with PBE.

DOS(E_F): 11.438 states/eV per cell
ρ: 7.92 g cm⁻³
Energy of formation from the pure elements: -0.028 eV/atom
Space group: No. 12

Structure (extended XYZ):
```
12
Lattice="4.125 0.000 0.857 1.871 8.760 1.350 -0.114 -0.110 10.906" Properties=species:S:1:pos:R:3 pbc="T T T"
Nd 3.358 5.044 4.547
Ac 4.004 5.832 11.800
Ac 1.879 2.818 1.313
Ac 4.828 7.042 7.831
Nd 2.524 3.606 8.566
Co 2.740 1.028 7.523
Ac 0.297 0.527 8.930
Ac 1.054 1.608 5.282
Co 1.664 5.459 2.349
Ac 5.586 8.123 4.183
Co 3.142 7.622 5.590
Co 4.219 3.191 10.764
```

An optimized crystal structure of Ac8NdCo4, computed with PBE.

DOS(E_F): 8.534 states/eV per cell
ρ: 8.18 g cm⁻³
Energy of formation from the pure elements: 0.008 eV/atom
Space group: No. 87

Structure (extended XYZ):
```
13
Lattice="-3.902 1.606 0.724 -4.623 -7.829 5.108 1.290 4.676 9.232" Properties=species:S:1:pos:R:3 pbc="T T T"
Ac -3.261 -0.999 9.953
Ac -5.553 -4.007 4.275
Co -2.829 1.935 5.774
Ac -0.720 0.690 7.242
Co -2.784 -3.045 4.406
Ac -1.681 2.461 10.790
Nd 0.000 0.000 0.000
Ac -3.974 -0.548 5.112
Co -4.406 -3.482 9.291
Ac -0.992 1.720 3.496
Co -4.450 1.499 10.659
Ac -6.514 -2.237 7.823
Ac -6.243 -3.267 11.568
```

An optimized crystal structure of Ac3NdCo, computed with PBE.

DOS(E_F): 11.316 states/eV per cell
ρ: 8.06 g cm⁻³
Energy of formation from the pure elements: -0.028 eV/atom
Offset from the most stable computed form: 0 meV per atom
Space group: No. 12

Structure (extended XYZ):
```
10
Lattice="-7.478 -2.053 -0.557 4.062 -5.280 -4.009 2.141 0.205 7.519" Properties=species:S:1:pos:R:3 pbc="T T T"
Co -0.586 -1.987 3.630
Ac 4.156 -5.277 1.418
Co -0.689 -5.141 -0.677
Ac -5.431 -1.852 1.534
Nd -3.496 -1.481 4.995
Ac 0.620 -2.862 0.184
Ac -1.896 -4.267 2.768
Nd 2.221 -5.647 -2.042
Ac 1.812 -3.297 3.940
Ac -3.087 -3.831 -0.987
```

An optimized crystal structure of Ac2NdCo, computed with PBE.

DOS(E_F): 4.750 states/eV per cell
ρ: 8.00 g cm⁻³
Energy of formation from the pure elements: 0.071 eV/atom
Offset from the most stable computed form: 88 meV per atom
Space group: No. 166

Structure (extended XYZ):
```
4
Lattice="4.019 0.000 0.000 2.010 3.481 0.000 2.010 1.160 9.756" Properties=species:S:1:pos:R:3 pbc="T T T"
Co 0.000 0.000 0.000
Nd 4.019 2.320 4.878
Ac 2.010 1.160 1.667
Ac 6.029 3.481 8.088
```

An optimized crystal structure of AcNd12Co5, computed with PBE.

DOS(E_F): 14.656 states/eV per cell
ρ: 7.28 g cm⁻³
Energy of formation from the pure elements: -0.027 eV/atom
Space group: No. 71

Structure (extended XYZ):
```
18
Lattice="-6.965 -5.101 -1.377 6.704 -4.841 2.838 -1.742 6.023 6.093" Properties=species:S:1:pos:R:3 pbc="T T T"
Nd 2.399 -4.917 1.548
Nd -2.899 -2.244 5.574
Co 1.802 -4.511 4.209
Nd -2.737 3.897 4.671
Co -0.100 -3.797 0.558
Nd -1.212 0.660 4.277
Nd 0.895 -1.675 1.980
Nd 0.639 -2.397 5.884
Nd -2.643 -1.523 1.670
Nd -6.160 -1.150 3.574
Nd -4.403 0.998 6.005
Nd -0.792 -4.580 3.276
Co 0.000 0.000 0.000
Ac 2.481 0.591 4.465
Nd 4.156 -2.769 3.979
Nd 0.733 -7.817 2.882
Co -0.162 -6.145 0.903
Co -3.806 0.591 3.344
```

An optimized crystal structure of Ac7NdCo3, computed with PBE.

DOS(E_F): 13.272 states/eV per cell
ρ: 7.99 g cm⁻³
Energy of formation from the pure elements: -0.024 eV/atom
Space group: No. 156

Structure (extended XYZ):
```
11
Lattice="-2.995 1.195 -5.949 -5.650 -5.742 1.691 -1.288 7.821 2.220" Properties=species:S:1:pos:R:3 pbc="T T T"
Nd -5.877 -0.550 -1.472
Co -5.179 -1.921 -3.793
Ac -2.774 3.313 1.979
Co -8.613 -0.891 -1.857
Ac -4.984 -3.419 1.637
Ac -3.643 6.194 -1.094
Ac -5.619 0.433 2.730
Ac -3.003 2.309 -2.196
Ac -6.450 3.341 -0.254
Ac -2.201 -0.591 0.804
Co -5.816 1.951 -2.694
```

An optimized crystal structure of Ac2NdCo, computed with PBE.

DOS(E_F): 5.715 states/eV per cell
ρ: 8.37 g cm⁻³
Energy of formation from the pure elements: 0.144 eV/atom
Offset from the most stable computed form: 161 meV per atom
Space group: No. 123

Structure (extended XYZ):
```
4
Lattice="-0.225 -3.572 1.028 2.494 -0.909 -2.611 6.958 1.340 6.180" Properties=species:S:1:pos:R:3 pbc="T T T"
Co 1.135 -2.240 -0.792
Nd 4.614 -1.571 2.298
Ac 1.327 0.256 1.179
Ac 5.631 1.084 5.001
```

An optimized crystal structure of AcNd4Co4, computed with PBE.

DOS(E_F): 11.356 states/eV per cell
ρ: 7.76 g cm⁻³
Energy of formation from the pure elements: 0.063 eV/atom
Space group: No. 86

Structure (extended XYZ):
```
18
Lattice="-5.320 2.021 -0.450 -3.042 -7.031 4.387 0.999 4.328 7.629" Properties=species:S:1:pos:R:3 pbc="T T T"
Co -2.570 -2.622 9.240
Co -2.832 -0.783 3.123
Nd -4.072 -3.660 3.445
Co -0.849 0.442 2.660
Co -3.393 2.466 5.614
Nd -2.123 2.535 8.220
Nd -0.560 1.453 5.192
Ac 0.000 0.000 0.000
Ac -3.681 -0.341 5.783
Co -6.697 -2.726 3.884
Nd -5.825 -0.349 2.831
Nd -3.176 2.029 2.502
Nd -5.689 1.244 8.384
Co -3.155 -0.422 8.559
Nd -2.651 -3.712 6.725
Nd -5.355 -2.267 8.966
Co -4.609 3.542 7.349
Co -5.346 -2.625 5.836
```

An optimized crystal structure of Ac5NdCo3, computed with PBE.

DOS(E_F): 12.648 states/eV per cell
ρ: 8.11 g cm⁻³
Energy of formation from the pure elements: -0.026 eV/atom
Space group: No. 12

Structure (extended XYZ):
```
18
Lattice="7.438 -0.460 -3.048 -2.499 7.491 -1.571 -0.547 0.771 10.892" Properties=species:S:1:pos:R:3 pbc="T T T"
Co 0.000 0.000 0.000
Co -0.948 2.718 3.123
Co 1.966 4.884 -0.766
Ac 0.047 3.661 5.623
Nd 1.077 0.876 2.486
Ac 4.346 4.142 0.650
Ac 3.891 2.937 4.539
Co 5.340 5.085 3.149
Ac -0.570 7.635 4.803
Ac 3.468 4.937 -3.244
Ac 1.471 2.094 -1.376
Ac -0.979 6.408 8.708
Ac 0.502 4.866 1.734
Co 3.446 0.156 3.922
Co 2.427 2.919 7.038
Ac 4.962 0.168 1.470
Ac 5.371 1.395 -2.436
Nd 3.315 6.927 3.787
```

An optimized crystal structure of Ac2NdCo, computed with PBE.

DOS(E_F): 4.481 states/eV per cell
ρ: 7.65 g cm⁻³
Energy of formation from the pure elements: -0.017 eV/atom
Offset from the most stable computed form: 0 meV per atom
Space group: No. 71

Structure (extended XYZ):
```
4
Lattice="-3.750 -0.461 1.876 1.668 -4.845 2.144 3.142 5.552 2.909" Properties=species:S:1:pos:R:3 pbc="T T T"
Co 1.282 5.277 3.867
Ac 0.406 -0.720 5.385
Nd 2.116 2.855 4.939
Ac 0.684 0.879 1.583
```

An optimized crystal structure of Ac3NdCo, computed with PBE.

DOS(E_F): 9.083 states/eV per cell
ρ: 7.91 g cm⁻³
Energy of formation from the pure elements: 0.070 eV/atom
Offset from the most stable computed form: 98 meV per atom
Space group: No. 221

Structure (extended XYZ):
```
5
Lattice="-4.845 -0.022 -3.008 2.965 -0.996 -4.769 -0.506 -5.616 0.858" Properties=species:S:1:pos:R:3 pbc="T T T"
Ac -2.423 -0.011 -1.504
Ac 1.482 -0.498 -2.385
Ac -0.253 -2.808 0.429
Co 0.000 0.000 0.000
Nd -1.193 -3.317 -3.460
```

An optimized crystal structure of Ac2NdCo2, computed with PBE.

DOS(E_F): 2.955 states/eV per cell
ρ: 8.22 g cm⁻³
Energy of formation from the pure elements: 0.031 eV/atom
Offset from the most stable computed form: 0 meV per atom
Space group: No. 71

Structure (extended XYZ):
```
5
Lattice="4.263 0.000 0.000 0.000 5.677 -0.594 -2.132 -2.219 6.213" Properties=species:S:1:pos:R:3 pbc="T T T"
Co 2.132 0.176 1.695
Ac 2.132 3.057 1.787
Nd 0.000 0.000 0.000
Ac 0.000 0.400 3.832
Co 0.000 3.281 3.924
```

An optimized crystal structure of AcNd2Co2, computed with PBE.

DOS(E_F): 5.717 states/eV per cell
ρ: 8.00 g cm⁻³
Energy of formation from the pure elements: 0.046 eV/atom
Offset from the most stable computed form: 65 meV per atom
Space group: No. 12

Structure (extended XYZ):
```
5
Lattice="-1.942 -0.191 3.384 4.958 -1.353 2.769 0.659 6.064 -1.535" Properties=species:S:1:pos:R:3 pbc="T T T"
Nd 1.852 0.898 3.368
Co -0.621 2.524 2.041
Ac 0.000 0.000 0.000
Nd 1.823 3.622 1.250
Co 4.295 1.996 2.577
```

An optimized crystal structure of AcNd4Co2, computed with PBE.

DOS(E_F): 18.595 states/eV per cell
ρ: 7.52 g cm⁻³
Energy of formation from the pure elements: 0.005 eV/atom
Space group: No. 11

Structure (extended XYZ):
```
14
Lattice="6.854 0.000 0.000 0.000 8.649 -3.028 0.000 -0.469 7.036" Properties=species:S:1:pos:R:3 pbc="T T T"
Co 5.141 2.759 1.624
Ac 5.141 1.290 6.195
Nd 0.004 3.430 3.713
Nd 6.850 4.750 0.295
Co 1.714 2.455 5.734
Nd 5.141 6.409 3.001
Co 1.714 5.421 2.384
Ac 1.714 6.889 -2.187
Nd 5.141 -0.152 2.364
Co 5.141 5.724 -1.725
Nd 1.714 8.331 1.644
Nd 3.431 4.750 0.295
Nd 1.714 1.771 1.007
Nd 3.423 3.430 3.713
```

An optimized crystal structure of Ac2NdCo2, computed with PBE.

DOS(E_F): 18.252 states/eV per cell
ρ: 8.93 g cm⁻³
Energy of formation from the pure elements: 0.052 eV/atom
Offset from the most stable computed form: 21 meV per atom
Space group: No. 127

Structure (extended XYZ):
```
20
Lattice="-4.160 -5.386 3.660 6.412 -2.627 3.421 -1.316 5.632 6.791" Properties=species:S:1:pos:R:3 pbc="T T T"
Co -2.175 -2.116 4.262
Co 1.780 -0.192 3.433
Ac 1.826 -2.986 8.688
Co 1.122 2.624 6.829
Ac -2.005 -2.483 7.529
Co -0.845 -2.189 10.439
Nd -0.987 4.223 5.092
Ac 3.600 -2.714 2.948
Nd 0.797 -2.599 5.237
Co -2.833 0.700 7.658
Nd -0.329 1.409 1.699
Co 3.769 -3.081 6.215
Nd 0.139 0.218 8.635
Co 3.111 -0.265 9.610
Ac 2.484 -5.803 5.294
Ac -0.890 0.604 5.184
Ac -0.233 -2.210 1.788
Ac -1.348 -5.299 4.133
Ac 2.940 0.102 6.344
Co -0.187 -5.005 7.044
```

An optimized crystal structure of AcNd2Co2, computed with PBE.

DOS(E_F): 6.038 states/eV per cell
ρ: 7.79 g cm⁻³
Energy of formation from the pure elements: -0.019 eV/atom
Offset from the most stable computed form: 0 meV per atom
Space group: No. 65

Structure (extended XYZ):
```
5
Lattice="4.074 0.000 0.000 0.000 3.842 -1.092 0.000 0.346 8.521" Properties=species:S:1:pos:R:3 pbc="T T T"
Nd 2.037 1.560 5.489
Co 0.000 3.197 3.944
Ac 0.000 0.000 0.000
Co 0.000 0.991 3.485
Nd 2.037 2.628 1.940
```

An optimized crystal structure of Ac3Nd3Co2, computed with PBE.

DOS(E_F): 33.331 states/eV per cell
ρ: 7.56 g cm⁻³
Energy of formation from the pure elements: -0.007 eV/atom
Space group: No. 148

Structure (extended XYZ):
```
32
Lattice="10.290 0.501 -0.516 0.515 10.289 -0.516 -0.502 -0.501 10.290" Properties=species:S:1:pos:R:3 pbc="T T T"
Ac 4.417 7.718 3.713
Nd 9.317 2.958 3.506
Ac 7.726 6.059 5.363
Ac 0.895 2.794 0.721
Co 1.716 6.232 8.164
Co 4.069 8.676 1.190
Nd 4.025 0.976 2.450
Nd 7.336 4.024 8.797
Ac 1.239 9.398 2.278
Nd 0.734 3.770 7.241
Ac 4.238 5.882 7.203
Co 8.687 8.581 5.708
Ac 2.805 9.062 8.881
Co 1.343 1.342 8.443
Ac 5.886 2.571 5.546
Nd 6.278 9.313 6.809
Nd 7.761 9.559 3.246
Nd 3.773 2.541 9.050
Ac 6.064 4.407 2.056
Nd 6.529 7.748 0.209
Co 6.234 1.613 8.070
Ac 9.063 0.891 6.981
Co 1.615 1.708 3.552
Nd 0.986 7.331 5.753
Ac 2.577 4.230 3.897
Nd 2.542 0.730 6.013
Co 8.959 8.947 0.817
Nd 2.966 6.265 0.463
Ac 9.408 7.495 8.539
Ac 7.497 1.227 0.379
Nd 9.568 6.519 2.019
Co 8.587 4.058 1.095
```

An optimized crystal structure of Ac3Nd3Co4, computed with PBE.

DOS(E_F): 11.514 states/eV per cell
ρ: 8.57 g cm⁻³
Energy of formation from the pure elements: 0.074 eV/atom
Space group: No. 38

Structure (extended XYZ):
```
10
Lattice="4.481 0.000 0.000 0.000 7.640 -0.024 0.000 0.043 7.640" Properties=species:S:1:pos:R:3 pbc="T T T"
Nd 2.240 6.385 1.242
Nd 2.240 2.590 2.558
Ac 2.240 1.313 6.359
Ac 0.000 3.911 0.036
Ac 0.000 7.613 3.705
Co 0.000 3.074 4.583
Nd 2.240 5.103 5.048
Co 0.000 4.644 2.999
Co 0.000 0.748 0.843
Co 4.481 6.834 6.876
```

An optimized crystal structure of AcNd3Co2, computed with PBE.

DOS(E_F): 16.934 states/eV per cell
ρ: 7.59 g cm⁻³
Energy of formation from the pure elements: -0.029 eV/atom
Space group: No. 12

Structure (extended XYZ):
```
12
Lattice="3.793 0.000 0.764 1.633 8.532 1.682 -0.133 -0.299 10.444" Properties=species:S:1:pos:R:3 pbc="T T T"
Nd 2.596 2.088 6.697
Nd 2.031 7.790 9.494
Nd 3.489 6.622 2.265
Nd 2.697 6.144 6.193
Co 0.953 0.499 5.062
Nd 3.262 0.442 3.395
Ac 1.273 3.704 3.471
Co 1.705 4.636 11.113
Nd 1.804 1.610 10.625
Co 3.588 3.596 1.777
Co 4.341 7.733 7.828
Ac 4.020 4.528 9.419
```